Record 1
DFT (GGA-PBE) results for a geometry-optimized CaPrYTh structure.

The structure belongs to space group F-43m (No. 216); the cell edges are 8.222, 8.222 and 8.222 Å and the angles 90.00°, 90.00° and 90.00°. The asymmetric unit holds Ca at (0.000, 0.000, 0.000), Pr at (0.250, 0.250, 0.250), Y at (0.250, 0.250, 0.750) and Th at (0.000, 0.000, 0.500).

The total moment is 2.140 μB/cell. Its density of states at the Fermi level is 8.49 states/eV/f.u. The value obtained for the energy of formation is 21.3 kJ per mole of atoms. The total energy comes out at -4.95 eV/atom.

***

Record 2
DFT (GGA-PBE) results for a geometry-optimized Ca12Pr3Tl5 structure.

The structure belongs to space group Ia-3d (No. 230); the cell edges are 19.335, 19.335 and 19.335 Å and the angles 90.00°, 90.00° and 90.00°. The asymmetric unit holds Ca at (0.028, 0.067, 0.643), Pr at (0.000, 0.250, 0.125), Tl at (0.000, 0.000, 0.000) and Tl at (0.000, 0.250, 0.375).

The total moment is 31.052 μB/cell. Its density of states at the Fermi level is 25.16 states/eV/f.u. The value obtained for the energy of formation is 33.6 kJ per mole of atoms. The total energy comes out at -2.16 eV/atom.

***

Record 3
DFT (GGA-PBE) results for a geometry-optimized Ca2Pr2Tl3 structure.

The structure belongs to space group Cmmm (No. 65); the cell edges are 3.795, 32.382 and 3.670 Å and the angles 90.00°, 90.00° and 90.00°. The asymmetric unit holds Ca at (0.000, 0.197, 0.000), Pr at (0.000, 0.068, 0.000), Tl at (0.000, 0.364, 0.500) and Tl at (0.000, 0.500, 0.500).

The total moment is 0.000 μB/cell. Its density of states at the Fermi level is 6.17 states/eV/f.u. The value obtained for the energy of formation is -30.4 kJ per mole of atoms. The total energy comes out at -3.27 eV/atom.

***

Record 4
DFT (GGA-PBE) results for a geometry-optimized CaPr2Tl3 structure.

The structure belongs to space group P4/mmm (No. 123); the cell edges are 3.850, 3.850 and 12.158 Å and the angles 90.00°, 90.00° and 90.00°. The asymmetric unit holds Ca at (0.000, 0.000, 0.000), Pr at (0.000, 0.000, 0.328), Tl at (0.500, 0.500, 0.159) and Tl at (0.500, 0.500, 0.500).

The total moment is 0.000 μB/cell. Its density of states at the Fermi level is 5.62 states/eV/f.u. The value obtained for the energy of formation is -39.1 kJ per mole of atoms. The total energy comes out at -3.51 eV/atom.

***

What is the formula in the third record? Ca2Pr2Tl3

***

Number 1 is which compound? CaPrYTh